# NiAs2 (meta-GGA SCAN, PBEsol geometry)
data_NiAs2
_chemical_formula_sum 'Ni8 As16'
_space_group_name_H-M_alt 'P 1'
_space_group_IT_number 1
_cell_length_a 5.729
_cell_length_b 5.806
_cell_length_c 11.339
_cell_angle_alpha 90.00
_cell_angle_beta 90.00
_cell_angle_gamma 90.00
loop_
_space_group_symop_operation_xyz
'x,y,z'
loop_
_atom_site_label
_atom_site_type_symbol
_atom_site_fract_x
_atom_site_fract_y
_atom_site_fract_z
Ni1 Ni 0.504 0.827 0.371
As1 As 0.621 0.450 0.319
As2 As 0.121 0.050 0.681
As3 As 0.362 0.310 0.931
Ni2 Ni 0.496 0.327 0.129
As4 As 0.879 0.950 0.319
As5 As 0.379 0.550 0.681
As6 As 0.862 0.310 0.569
As7 As 0.121 0.450 0.181
Ni3 Ni 0.996 0.327 0.371
Ni4 Ni 0.496 0.173 0.629
As8 As 0.362 0.190 0.431
As9 As 0.138 0.690 0.431
As10 As 0.138 0.810 0.931
Ni5 Ni 0.004 0.673 0.629
As11 As 0.621 0.050 0.819
As12 As 0.638 0.810 0.569
Ni6 Ni 0.996 0.173 0.871
As13 As 0.638 0.690 0.069
Ni7 Ni 0.004 0.827 0.129
Ni8 Ni 0.504 0.673 0.871
As14 As 0.879 0.550 0.819
As15 As 0.379 0.950 0.181
As16 As 0.862 0.190 0.069
# * ΔH_f (0 K): -321 meV/atom

---

# Tl3SiTe3 (meta-GGA SCAN, PBEsol geometry)
data_Tl3SiTe3
_chemical_formula_sum 'Tl12 Si4 Te12'
_space_group_name_H-M_alt 'P 1'
_space_group_IT_number 1
_cell_length_a 9.258
_cell_length_b 9.502
_cell_length_c 10.385
_cell_angle_alpha 88.96
_cell_angle_beta 83.95
_cell_angle_gamma 78.70
loop_
_space_group_symop_operation_xyz
'x,y,z'
loop_
_atom_site_label
_atom_site_type_symbol
_atom_site_fract_x
_atom_site_fract_y
_atom_site_fract_z
Te1 Te 0.009 0.197 0.893
Tl1 Tl 0.097 0.567 0.344
Te2 Te 0.217 0.233 0.478
Tl2 Tl 0.808 0.852 0.836
Tl3 Tl 0.644 0.218 0.915
Te3 Te 0.869 0.379 0.252
Te4 Te 0.684 0.562 0.917
Si1 Si 0.423 0.020 0.417
Si2 Si 0.090 0.572 0.987
Tl4 Tl 0.906 0.036 0.358
Te5 Te 0.783 0.767 0.522
Tl5 Tl 0.322 0.286 0.765
Te6 Te 0.417 0.927 0.782
Te7 Te 0.687 0.202 0.595
Tl6 Tl 0.510 0.386 0.361
Te8 Te 0.991 0.803 0.107
Si3 Si 0.577 0.980 0.583
Te9 Te 0.583 0.073 0.218
Tl7 Tl 0.903 0.433 0.656
Tl8 Tl 0.490 0.614 0.639
Tl9 Tl 0.192 0.148 0.164
Te10 Te 0.313 0.798 0.405
Tl10 Tl 0.678 0.714 0.235
Tl11 Tl 0.094 0.964 0.642
Te11 Te 0.131 0.621 0.748
Tl12 Tl 0.356 0.782 0.085
Te12 Te 0.316 0.438 0.083
Si4 Si 0.910 0.428 0.013
# * formation energy (no corrections): -263 meV/atom

---

# FeTc (meta-GGA SCAN, PBEsol geometry)
data_FeTc
_chemical_formula_sum 'Fe2 Tc2'
_space_group_name_H-M_alt 'P 1'
_space_group_IT_number 1
_cell_length_a 3.623
_cell_length_b 3.623
_cell_length_c 4.459
_cell_angle_alpha 113.97
_cell_angle_beta 113.97
_cell_angle_gamma 90.00
loop_
_space_group_symop_operation_xyz
'x,y,z'
loop_
_atom_site_label
_atom_site_type_symbol
_atom_site_fract_x
_atom_site_fract_y
_atom_site_fract_z
Fe1 Fe 0.250 0.750 0.500
Fe2 Fe 0.000 0.000 0.000
Tc1 Tc 0.750 0.250 0.500
Tc2 Tc 0.500 0.500 0.000
# * ΔH_f (0 K): 312 meV/atom

---

# BaLiIn2 (meta-GGA SCAN, PBEsol geometry)
data_BaLiIn2
_chemical_formula_sum 'Ba1 Li1 In2'
_space_group_name_H-M_alt 'P 1'
_space_group_IT_number 1
_cell_length_a 4.783
_cell_length_b 4.783
_cell_length_c 6.616
_cell_angle_alpha 68.81
_cell_angle_beta 68.81
_cell_angle_gamma 60.00
loop_
_space_group_symop_operation_xyz
'x,y,z'
loop_
_atom_site_label
_atom_site_type_symbol
_atom_site_fract_x
_atom_site_fract_y
_atom_site_fract_z
In1 In 0.769 0.769 0.692
Li1 Li 0.441 0.441 0.678
Ba1 Ba 0.249 0.249 0.253
In2 In 0.041 0.041 0.877
# * ΔH_f (0 K): -507 meV/atom

---

# YGa2SiPd (meta-GGA SCAN, PBEsol geometry)
data_YGa2SiPd
_chemical_formula_sum 'Y1 Ga2 Si1 Pd1'
_space_group_name_H-M_alt 'P 1'
_space_group_IT_number 1
_cell_length_a 4.688
_cell_length_b 4.712
_cell_length_c 4.712
_cell_angle_alpha 90.00
_cell_angle_beta 90.00
_cell_angle_gamma 90.00
loop_
_space_group_symop_operation_xyz
'x,y,z'
loop_
_atom_site_label
_atom_site_type_symbol
_atom_site_fract_x
_atom_site_fract_y
_atom_site_fract_z
Y1 Y 0.500 0.500 0.500
Ga1 Ga 0.000 0.000 0.500
Pd1 Pd 0.000 0.000 0.000
Ga2 Ga 0.000 0.500 0.000
Si1 Si 0.500 0.000 0.000
# * formation energy (no corrections): -124 meV/atom

---

# K2PtPb2 (meta-GGA SCAN, PBEsol geometry)
data_K2PtPb2
_chemical_formula_sum 'K4 Pt2 Pb4'
_space_group_name_H-M_alt 'P 1'
_space_group_IT_number 1
_cell_length_a 5.855
_cell_length_b 7.175
_cell_length_c 7.175
_cell_angle_alpha 90.00
_cell_angle_beta 90.00
_cell_angle_gamma 90.00
loop_
_space_group_symop_operation_xyz
'x,y,z'
loop_
_atom_site_label
_atom_site_type_symbol
_atom_site_fract_x
_atom_site_fract_y
_atom_site_fract_z
K1 K 0.500 0.181 0.681
Pb1 Pb 0.000 0.647 0.147
Pt1 Pt 0.000 0.000 0.000
Pb2 Pb 0.000 0.853 0.647
Pt2 Pt 0.000 0.500 0.500
K2 K 0.500 0.819 0.319
Pb3 Pb 0.000 0.147 0.353
Pb4 Pb 0.000 0.353 0.853
K3 K 0.500 0.681 0.819
K4 K 0.500 0.319 0.181
# * ΔH_f (0 K): -272 meV/atom

---

This record from the Alexandria database describes a crystal of ZnH3CNO3 relaxed with PBEsol. The functional is meta-GGA SCAN.

```
data_ZnH3CNO3
_chemical_formula_sum 'Zn4 H12 C4 N4 O12'
_space_group_name_H-M_alt 'P 1'
_space_group_IT_number 1
_cell_length_a 5.318
_cell_length_b 7.455
_cell_length_c 9.500
_cell_angle_alpha 90.00
_cell_angle_beta 90.00
_cell_angle_gamma 90.00
loop_
_space_group_symop_operation_xyz
'x,y,z'
loop_
_atom_site_label
_atom_site_type_symbol
_atom_site_fract_x
_atom_site_fract_y
_atom_site_fract_z
O1 O 0.455 0.554 0.290
H1 H 0.982 0.647 0.964
O2 O 0.955 0.446 0.710
N1 N 0.550 0.333 0.935
O3 O 0.683 0.794 0.345
O4 O 0.455 0.946 0.790
N2 N 0.050 0.667 0.065
C1 C 0.553 0.845 0.884
C2 C 0.053 0.155 0.116
O5 O 0.683 0.706 0.845
O6 O 0.520 0.624 0.517
H2 H 0.982 0.853 0.464
O7 O 0.020 0.124 0.983
Zn1 Zn 0.794 0.826 0.150
H3 H 0.584 0.456 0.890
C3 C 0.553 0.655 0.384
Zn2 Zn 0.794 0.674 0.650
H4 H 0.220 0.765 0.559
H5 H 0.482 0.147 0.536
N3 N 0.550 0.167 0.435
O8 O 0.955 0.054 0.210
O9 O 0.020 0.376 0.483
H6 H 0.720 0.235 0.441
H7 H 0.482 0.353 0.036
Zn3 Zn 0.294 0.326 0.350
H8 H 0.584 0.044 0.390
N4 N 0.050 0.833 0.565
H9 H 0.720 0.265 0.941
O10 O 0.520 0.876 0.017
H10 H 0.220 0.735 0.059
O11 O 0.183 0.294 0.155
C4 C 0.053 0.345 0.616
O12 O 0.183 0.206 0.655
Zn4 Zn 0.294 0.174 0.850
H11 H 0.084 0.956 0.610
H12 H 0.084 0.544 0.110
```

---

# ZnGaIr2 (meta-GGA SCAN, PBEsol geometry)
data_ZnGaIr2
_chemical_formula_sum 'Zn1 Ga1 Ir2'
_space_group_name_H-M_alt 'P 1'
_space_group_IT_number 1
_cell_length_a 4.245
_cell_length_b 4.245
_cell_length_c 4.245
_cell_angle_alpha 60.00
_cell_angle_beta 60.00
_cell_angle_gamma 60.00
loop_
_space_group_symop_operation_xyz
'x,y,z'
loop_
_atom_site_label
_atom_site_type_symbol
_atom_site_fract_x
_atom_site_fract_y
_atom_site_fract_z
Ga1 Ga 0.500 0.500 0.500
Zn1 Zn 0.000 0.000 0.000
Ir1 Ir 0.750 0.750 0.750
Ir2 Ir 0.250 0.250 0.250
# * ΔH_f (0 K): -382 meV/atom

---

Total DFT energy (no corrections)? In order: -460.14 -1362.75 -105.13 -110.74 -103.94 -479.55 -286.16 -173.59 eV per cell.